[1]
Below is KOsPt2 after structural relaxation, with properties calculated at the GGA-PBE level.

Summary:
The calculation puts the offset from the most stable computed form at 0.000 eV/f.u. The total magnetization is 0.0000 μB per atom. Its symmetry is P4/mmm, No. 123. The value obtained for the energy of formation is 102 kJ/mol of formula units. Its calculated volume is 18.327 Å³/atom.

abc: 2.827 2.827 9.172
angles: 90.00 90.00 90.00
Fractional coordinates of all 4 atoms:
K 0.500 0.500 0.250
Os 0.500 0.500 0.750
Pt 0.000 0.000 0.949
Pt 0.000 0.000 0.551



[2]
Below is RbNaBe after structural relaxation, with properties calculated at the GGA-PBE level.

Summary:
The calculation puts the offset from the most stable computed form at 0.000 eV/f.u. The total magnetization is 0.0001 μB per atom. Its symmetry is P1, No. 1. The value obtained for the energy of formation is 126 kJ/mol of formula units. Its calculated volume is 39.771 Å³/atom.

abc: 4.320 5.163 11.009
angles: 103.64 90.15 90.00
Fractional coordinates of all 6 atoms:
Na 0.211 0.722 0.576
Na 0.710 0.615 0.362
Rb 0.714 0.330 0.788
Rb 0.208 0.010 0.150
Be 0.460 0.168 0.469
Be 0.960 0.168 0.469



[3]
Below is YAl2Se after structural relaxation, with properties calculated at the GGA-PBE level.

Summary:
The total magnetization is 0.0000 μB per atom. Its symmetry is Cm, No. 8. The value obtained for the formation energy (no corrections) is -448 meV per atom. Its calculated volume is 21.478 Å³/atom.

abc: 5.224 5.224 5.075
angles: 73.66 73.66 40.57
Fractional coordinates of all 4 atoms:
Y 0.756 0.756 0.718
Al 0.988 0.988 0.078
Al 0.250 0.250 0.227
Se 0.505 0.505 0.478



[4]
Below is VIr2C after structural relaxation, with properties calculated at the GGA-PBE level.

Summary:
The calculation puts the offset from the most stable computed form at 2.548 eV/f.u. The total magnetization is 0.0712 μB per atom. Its symmetry is Fm-3m, No. 225. The value obtained for the energy of formation is 399 kJ/mol of formula units. Its calculated volume is 12.763 Å³/atom.

abc: 4.164 4.164 4.164
angles: 60.00 60.00 60.00
Each line ends with the local moment (μB).
Fractional coordinates of all 4 atoms:
C 0.000 0.000 0.000  -0.06
Ir 0.250 0.250 0.250  -0.33
Ir 0.750 0.750 0.750  -0.33
V 0.500 0.500 0.500  0.42



[5]
Below is PaTi2Sn after structural relaxation, with properties calculated at the GGA-PBE level.

Summary:
The calculation puts the offset from the most stable computed form at 0.000 eV/f.u. The total magnetization is 0.0000 μB per atom. Its symmetry is P4/mmm, No. 123. The value obtained for the energy of formation is -91 kJ/mol of formula units. Its calculated volume is 19.770 Å³/atom.

abc: 3.659 4.649 4.649
angles: 90.00 90.00 90.00
Fractional coordinates of all 4 atoms:
Pa 0.500 0.500 0.500
Sn 0.500 0.000 0.000
Ti 0.000 0.000 0.500
Ti 0.000 0.500 0.000



[6]
Below is Pm2MgSe4 after structural relaxation, with properties calculated at the GGA-PBE level.

Summary:
The calculation puts the offset from the most stable computed form at 0.000 eV/f.u. The total magnetization is 0.0000 μB per atom. Its symmetry is Pnma, No. 62. The value obtained for the formation energy (no corrections) is -1675 meV per atom. Its calculated volume is 30.455 Å³/atom.

abc: 6.947 8.480 14.475
angles: 90.00 90.00 90.00
Fractional coordinates of all 28 atoms:
Pm 0.500 0.000 0.000
Pm 0.000 0.000 0.500
Pm 0.000 0.500 0.500
Pm 0.500 0.500 0.000
Pm 0.992 0.750 0.233
Pm 0.008 0.250 0.767
Pm 0.492 0.250 0.267
Pm 0.508 0.750 0.733
Mg 0.913 0.250 0.094
Mg 0.087 0.750 0.906
Mg 0.413 0.750 0.406
Mg 0.587 0.250 0.594
Se 0.738 0.012 0.170
Se 0.262 0.988 0.830
Se 0.238 0.988 0.330
Se 0.762 0.012 0.670
Se 0.762 0.488 0.670
Se 0.238 0.512 0.330
Se 0.262 0.512 0.830
Se 0.738 0.488 0.170
Se 0.245 0.750 0.070
Se 0.755 0.250 0.930
Se 0.745 0.250 0.430
Se 0.255 0.750 0.570
Se 0.279 0.250 0.090
Se 0.721 0.750 0.910
Se 0.779 0.750 0.410
Se 0.221 0.250 0.590



[7]
Below is Sr2MgRhC after structural relaxation, with properties calculated at the GGA-PBE level.

Summary:
The calculation puts the offset from the most stable computed form at 0.000 eV/f.u. The total magnetization is 0.0000 μB per atom. Its symmetry is P4/mmm, No. 123. The value obtained for the energy of formation is -14 kJ/mol of formula units. Its calculated volume is 24.679 Å³/atom.

abc: 5.604 5.604 3.929
angles: 90.00 90.00 90.00
Fractional coordinates of all 5 atoms:
Sr 0.000 0.500 0.000
Sr 0.500 0.000 0.000
Mg 0.500 0.500 0.500
Rh 0.000 0.000 0.500
C 0.000 0.000 0.000



[8]
Below is Tm2Al3Cd after structural relaxation, with properties calculated at the GGA-PBE level.

Summary:
The total magnetization is 0.0000 μB per atom. Its symmetry is Imm2, No. 44. The value obtained for the energy of formation is -166 kJ/mol of formula units. Its calculated volume is 22.590 Å³/atom.

abc: 3.752 4.535 8.492
angles: 105.49 102.76 90.00
Fractional coordinates of all 6 atoms:
Tm 0.140 0.140 0.281
Tm 0.857 0.357 0.714
Al 0.699 0.699 0.397
Al 0.541 0.541 0.082
Al 0.300 0.800 0.600
Cd 0.463 0.963 0.925



[9]
Below is InReIr after structural relaxation, with properties calculated at the GGA-PBE level.

Summary:
The calculation puts the offset from the most stable computed form at 0.416 eV/f.u. The total magnetization is 0.0000 μB per atom. Its symmetry is P3m1, No. 156. The value obtained for the energy of formation is 72 kJ/mol of formula units. Its calculated volume is 16.595 Å³/atom.

abc: 2.885 2.885 6.904
angles: 90.00 90.00 120.00
Fractional coordinates of all 3 atoms:
In 0.000 0.000 0.002
Ir 0.667 0.333 0.350
Re 0.333 0.667 0.648



[10]
Below is Pm2SmY12 after structural relaxation, with properties calculated at the GGA-PBE level.

Summary:
The total magnetization is 0.0000 μB per atom. Its symmetry is Cmme, No. 67. The value obtained for the energy of formation is 244 kJ/mol of formula units. Its calculated volume is 33.588 Å³/atom.

abc: 6.717 6.717 24.915
angles: 90.00 90.00 63.68
Fractional coordinates of all 30 atoms:
Pm 0.500 0.000 0.271
Pm 0.000 0.500 0.266
Pm 0.000 0.500 0.729
Pm 0.500 0.000 0.734
Sm 0.500 0.000 0.000
Sm 0.000 0.500 0.000
Y 0.500 0.500 0.800
Y 0.000 0.000 0.800
Y 0.751 0.749 0.872
Y 0.251 0.751 0.922
Y 0.000 0.000 0.328
Y 0.249 0.749 0.078
Y 0.764 0.264 0.561
Y 0.500 0.500 0.328
Y 0.249 0.251 0.872
Y 0.749 0.751 0.128
Y 0.261 0.239 0.584
Y 0.736 0.236 0.439
Y 0.000 0.000 0.672
Y 0.239 0.261 0.416
Y 0.251 0.249 0.128
Y 0.761 0.739 0.416
Y 0.739 0.761 0.584
Y 0.000 0.000 0.200
Y 0.236 0.736 0.561
Y 0.500 0.500 0.672
Y 0.749 0.249 0.922
Y 0.500 0.500 0.200
Y 0.264 0.764 0.439
Y 0.751 0.251 0.078



[11]
Below is Na3GeSb3 after structural relaxation, with properties calculated at the GGA-PBE level.

Summary:
The total magnetization is 0.0000 μB per atom. Its symmetry is R3m, No. 160. The value obtained for the formation energy (no corrections) is -151 meV per atom. Its calculated volume is 28.299 Å³/atom.

abc: 6.549 6.300 6.300
angles: 108.66 110.27 110.27
Fractional coordinates of all 7 atoms:
Na 0.570 0.589 0.589
Na 0.981 0.000 0.411
Na 0.981 0.411 0.000
Ge 0.444 0.000 0.000
Sb 0.033 0.550 0.550
Sb 0.483 0.000 0.450
Sb 0.483 0.450 0.000



[12]
Below is GaBiAu4 after structural relaxation, with properties calculated at the GGA-PBE level.

Summary:
The calculation puts the offset from the most stable computed form at 0.079 eV/f.u. The total magnetization is 0.0000 μB per atom. Its symmetry is Cmcm, No. 63. The value obtained for the energy of formation is -9 kJ/mol of formula units. Its calculated volume is 21.802 Å³/atom.

abc: 3.689 7.288 9.905
angles: 90.00 100.73 90.00
Fractional coordinates of all 12 atoms:
Ga 0.095 0.750 0.190
Ga 0.905 0.250 0.810
Bi 0.413 0.750 0.826
Bi 0.587 0.250 0.174
Au 0.185 0.451 0.370
Au 0.815 0.549 0.630
Au 0.185 0.049 0.370
Au 0.815 0.951 0.630
Au 0.690 0.750 0.380
Au 0.310 0.250 0.620
Au 0.000 0.500 0.000
Au 0.000 0.000 0.000